Record 1
A plane-wave DFT calculation with GGA-PBE was carried out for an optimized crystal structure of ScTc2Ni.

Cell lengths 5.242, 8.404, 2.705 Å; angles 90.00, 90.00, 90.00 degrees
Space group Cmmm (No. 65)
Asymmetric unit:
Sc 0.000 0.000 0.000 [2 per cell]
Tc 0.250 0.250 0.500 [4 per cell]
Ni 0.000 0.500 0.000 [2 per cell]

- Energy relative to the elements: 9.1 kJ per mole of atoms
- Distance to the lowest polymorph of the same formula: 0.217 eV/atom

---

Record 2
A plane-wave DFT calculation with GGA-PBE was carried out for an optimized crystal structure of PrNb2S6.

Cell lengths 11.894, 4.938, 8.571 Å; angles 90.00, 121.26, 90.00 degrees
Space group C2/m (No. 12)
Asymmetric unit:
Pr 0.000 0.000 0.000 [2 per cell]
Nb 0.193 0.000 0.579 [4 per cell]
S 0.026 0.000 0.687 [4 per cell]
S 0.153 0.500 0.099 [4 per cell]
S 0.203 0.500 0.608 [4 per cell]

- Energy relative to the elements, uncorrected: -1084 meV/atom